Computed, not measured: a relaxed AcZn2BRu2 crystal at the PBE level of DFT.

abc: 4.258 4.258 5.736
angles: 90.00 90.00 90.00
Space group P4/mmm (No. 123)
One atom of each set of equivalent atoms:
Ac 0.000 0.000 0.000 [1 per cell]
Zn 0.500 0.500 0.240 [2 per cell]
B 0.000 0.000 0.500 [1 per cell]
Ru 0.000 0.500 0.500 [2 per cell]

Properties
E_form = -0.34 eV/atom
uncorrected energy = -5.652 eV/atom

***

Computed, not measured: a relaxed AcB2S4 crystal at the PBE level of DFT.

abc: 7.246 7.246 5.008
angles: 90.00 90.00 90.00
Space group I4/m (No. 87)
One atom of each set of equivalent atoms:
Ac 0.000 0.000 0.000 [2 per cell]
B 0.000 0.500 0.250 [4 per cell]
S 0.111 0.327 0.500 [8 per cell]

Properties
ΔE_f (raw) = -0.740 eV/atom
uncorrected energy = -5.593 eV/atom

***

Computed, not measured: a relaxed Ac2BS4 crystal at the PBE level of DFT.

abc: 6.679 6.279 8.102
angles: 90.00 107.22 90.00
Space group P2_1/m (No. 11)
One atom of each set of equivalent atoms:
Ac 0.225 0.250 0.434 [2 per cell]
Ac 0.258 0.250 0.942 [2 per cell]
B 0.299 0.750 0.206 [2 per cell]
S 0.120 0.750 0.368 [2 per cell]
S 0.141 0.750 0.955 [2 per cell]
S 0.483 0.508 0.258 [4 per cell]

Properties
ΔE_f (raw) = -1.453 eV/atom
uncorrected energy = -5.939 eV/atom

***

Computed, not measured: a relaxed Ac3B2S8 crystal at the PBE level of DFT.

abc: 6.2716 6.2716 24.5164
angles: 90.00 90.00 120.00
Space group R-3m (No. 166, hexagonal axes)
One atom of each set of equivalent atoms:
Ac 0.0000 0.0000 0.0000 [3 per cell]
Ac 0.0000 0.0000 0.2128 [6 per cell]
B 0.0000 0.0000 0.4097 [6 per cell]
S 0.0000 0.0000 0.3309 [6 per cell]
S 0.9995 0.4998 0.2317 [18 per cell]

Properties
ΔE_f (raw) = -1.340 eV/atom
uncorrected energy = -5.856 eV/atom

***

Computed, not measured: a relaxed Ac2B2S5 crystal at the PBE level of DFT.

abc: 17.096 3.871 7.712
angles: 90.00 106.97 90.00
Space group C2/m (No. 12)
One atom of each set of equivalent atoms:
Ac 0.131 0.000 0.021 [4 per cell]
B 0.210 0.500 0.560 [4 per cell]
S 0.000 0.500 0.000 [2 per cell]
S 0.177 0.000 0.438 [4 per cell]
S 0.187 0.500 0.784 [4 per cell]

Properties
ΔE_f (raw) = -0.919 eV/atom
uncorrected energy = -5.608 eV/atom

***

Computed, not measured: a relaxed Ac2B2S7 crystal at the PBE level of DFT.

abc: 10.113 10.531 5.407
angles: 90.00 120.59 90.00
Space group C2/m (No. 12)
One atom of each set of equivalent atoms:
Ac 0.000 0.229 0.000 [4 per cell]
B 0.201 0.000 0.825 [4 per cell]
S 0.000 0.500 0.500 [2 per cell]
S 0.183 0.156 0.669 [8 per cell]
S 0.222 0.000 0.183 [4 per cell]

Properties
ΔE_f (raw) = -1.044 eV/atom
uncorrected energy = -5.632 eV/atom

***

Computed, not measured: a relaxed AcBS crystal at the PBE level of DFT.

abc: 6.712 10.152 7.113
angles: 90.00 90.00 90.00
Space group Cmce (No. 64)
One atom of each set of equivalent atoms:
Ac 0.000 0.157 0.131 [8 per cell]
B 0.000 0.078 0.530 [8 per cell]
S 0.250 0.101 0.750 [8 per cell]

Properties
ΔE_f (raw) = -0.499 eV/atom
uncorrected energy = -5.471 eV/atom

***

Computed, not measured: a relaxed SrAcB2S6 crystal at the PBE level of DFT.

abc: 9.127 12.733 9.272
angles: 90.00 111.85 90.00
Space group C2/c (No. 15)
One atom of each set of equivalent atoms:
Sr 0.000 0.216 0.250 [4 per cell]
Ac 0.000 0.405 0.750 [4 per cell]
B 0.209 0.100 0.713 [8 per cell]
S 0.111 0.407 0.113 [8 per cell]
S 0.135 0.224 0.619 [8 per cell]
S 0.139 0.027 0.127 [8 per cell]

Properties
ΔE_f (raw) = -1.097 eV/atom
uncorrected energy = -5.488 eV/atom

***

> Which value of uncorrected energy does entry 7 give?

-5.471 eV/atom